Computed, not measured: RbBa3Hg at its PBEsol-relaxed geometry at the SCAN level of DFT.

a = 6.676 Å, b = 6.676 Å, c = 6.676 Å
α = 90.00°, β = 90.00°, γ = 90.00°
Space group Pm-3m (No. 221)
Symmetry-distinct sites (fractional):
Rb 0.000 0.000 0.000
Ba 0.000 0.500 0.500
Hg 0.500 0.500 0.500

=====

Computed, not measured: CrMo2 at its PBEsol-relaxed geometry at the SCAN level of DFT.

a = 4.048 Å, b = 4.048 Å, c = 2.889 Å
α = 90.00°, β = 90.00°, γ = 90.00°
Space group P4/mmm (No. 123)
Symmetry-distinct sites (fractional):
Cr 0.000 0.000 0.000
Mo 0.000 0.500 0.500

=====

Computed, not measured: AsRhPb2 at its PBEsol-relaxed geometry at the SCAN level of DFT.

a = 6.514 Å, b = 7.408 Å, c = 3.499 Å
α = 90.00°, β = 90.00°, γ = 90.00°
Space group Cmmm (No. 65)
Symmetry-distinct sites (fractional):
As 0.000 0.000 0.000
Rh 0.000 0.500 0.000
Pb 0.250 0.250 0.500

=====

no.,ΔH_f (0 K) (eV/atom)
1,-0.2136
2,0.8500
3,0.3218